Here is Tm2PbAu after structural relaxation from Alexandria. Energies are from PBE.

a b c (Å): 4.8689 3.7019 11.8248
angles (deg): 99.01 90.00 90.00
Element x y z (fractional)
1 Tm 0.7500 0.6645 0.3290
2 Tm 0.2500 0.3355 0.6710
3 Tm 0.7500 0.9391 0.8782
4 Tm 0.2500 0.0609 0.1218
5 Pb 0.2500 0.1970 0.3940
6 Pb 0.7500 0.8030 0.6060
7 Au 0.2500 0.4600 0.9200
8 Au 0.7500 0.5400 0.0800

## Properties
- DOS at the Fermi energy: 0.82 states/eV/atom
- Space group: Cmcm (63)
- Total moment: 0.00 μB per atom
- Calculated volume: 26.313 A^3/atom
- Uncorrected energy: -4.55 eV per atom

Here is PrNdTl4 after structural relaxation from Alexandria. Energies are from PBE.

a b c (Å): 6.2775 6.2775 6.2775
angles (deg): 60.00 60.00 60.00
Element x y z (fractional)
1 Pr 0.0000 0.0000 0.0000
2 Tl 0.6250 0.6250 0.1250
3 Tl 0.6250 0.1250 0.6250
4 Tl 0.6250 0.6250 0.6250
5 Tl 0.1250 0.6250 0.6250
6 Nd 0.2500 0.2500 0.2500

## Properties
- DOS at the Fermi energy: 0.92 states/eV/atom
- Space group: F-43m (216)
- Total moment: 0.00 μB per atom
- Calculated volume: 29.154 A^3/atom
- Uncorrected energy: -3.33 eV per atom

Here is Rb2NiOsI6 after structural relaxation from Alexandria. Energies are from PBE.

a b c (Å): 7.8996 7.8996 7.8950
angles (deg): 59.98 59.98 90.00
Last column: magnetic moment on the atom in μB.
Element x y z (fractional)
1 I 0.2475 0.2475 0.5051  0.04
2 I 0.7525 0.7525 0.4949  0.04
3 I 0.2471 0.2471 0.0000  0.04
4 I 0.7529 0.7529 0.0000  0.04
5 I 0.7529 0.2471 0.0000  0.05
6 I 0.2471 0.7529 0.0000  0.05
7 Ni 0.5000 0.5000 0.0000  0.67
8 Os 0.0000 0.0000 0.0000  0.85
9 Rb 0.7500 0.2500 0.5000  0.00
10 Rb 0.2500 0.7500 0.5000  0.00

## Properties
- DOS at the Fermi energy: 1.38 states/eV/atom
- Energy relative to the elements, uncorrected: -328 meV/atom
- Space group: I4/mmm (139)
- Total moment: 0.20 μB per atom
- Calculated volume: 34.818 A^3/atom
- Uncorrected energy: -3.15 eV per atom

Here is MgBiH3 after structural relaxation from Alexandria. Energies are from PBE.

a b c (Å): 3.9285 3.9285 3.9285
angles (deg): 90.00 90.00 90.00
Element x y z (fractional)
1 H 0.0000 0.5000 0.0000
2 H 0.0000 0.0000 0.5000
3 H 0.5000 0.0000 0.0000
4 Mg 0.0000 0.0000 0.0000
5 Bi 0.5000 0.5000 0.5000

## Properties
- DOS at the Fermi energy: 0.53 states/eV/atom
- Space group: Pm-3m (221)
- Total moment: 0.00 μB per atom
- Calculated volume: 12.126 A^3/atom
- Uncorrected energy: -2.71 eV per atom

Here is NpNF after structural relaxation from Alexandria. Energies are from PBE.

a b c (Å): 3.8803 3.8803 3.8803
angles (deg): 60.00 60.00 60.00
Last column: magnetic moment on the atom in μB.
Element x y z (fractional)
1 Np 0.2500 0.2500 0.2500  3.19
2 N 0.0000 0.0000 0.0000  -0.19
3 F 0.5000 0.5000 0.5000  -0.03

## Properties
- DOS at the Fermi energy: 2.54 states/eV/atom
- Energy relative to the elements, uncorrected: -2001 meV/atom
- Space group: F-43m (216)
- Total moment: 1.00 μB per atom
- Calculated volume: 13.770 A^3/atom
- Uncorrected energy: -9.71 eV per atom

Here is Y3Te2P after structural relaxation from Alexandria. Energies are from PBE.

a b c (Å): 7.3111 7.4821 7.2989
angles (deg): 80.61 59.94 70.99
Element x y z (fractional)
1 Y 0.5668 0.2183 0.3592
2 Y 0.7111 0.7875 0.0000
3 Y 0.4332 0.7817 0.6408
4 Y 0.0740 0.7817 0.3592
5 Y 0.9260 0.2183 0.6408
6 Y 0.2889 0.2125 0.0000
7 Te 0.0000 0.0000 0.0000
8 Te 0.5000 0.5000 0.0000
9 Te 0.8418 0.5000 0.3163
10 Te 0.1582 0.5000 0.6837
11 P 0.3318 0.0000 0.3364
12 P 0.6682 0.0000 0.6636

## Properties
- DOS at the Fermi energy: 0.46 states/eV/atom
- Energy relative to the elements, uncorrected: -1496 meV/atom
- Space group: C2/m (12)
- Total moment: 0.00 μB per atom
- Calculated volume: 27.229 A^3/atom
- Uncorrected energy: -6.68 eV per atom

Here is CeNbPt after structural relaxation from Alexandria. Energies are from PBE.

a b c (Å): 5.3029 4.6863 6.6706
angles (deg): 77.00 66.58 55.54
Last column: magnetic moment on the atom in μB.
Element x y z (fractional)
1 Nb 0.7500 0.5000 0.5000  0.02
2 Nb 0.2500 0.5000 0.5000  0.02
3 Ce 0.8246 0.3509 0.0000  0.41
4 Ce 0.1754 0.6491 0.0000  0.41
5 Pt 0.6194 0.0000 0.7612  0.00
6 Pt 0.3806 0.0000 0.2388  0.00

## Properties
- DOS at the Fermi energy: 1.66 states/eV/atom
- Space group: Fmmm (69)
- Total moment: 0.17 μB per atom
- Calculated volume: 20.904 A^3/atom
- Uncorrected energy: -7.57 eV per atom

Here is HfBe5Au after structural relaxation from Alexandria. Energies are from PBE.

a b c (Å): 4.3507 7.5998 9.3704
angles (deg): 90.00 90.00 90.00
Element x y z (fractional)
1 Hf 0.2500 0.2415 0.9380
2 Hf 0.7500 0.2585 0.4380
3 Hf 0.2500 0.7415 0.5620
4 Hf 0.7500 0.7585 0.0620
5 Be 0.2500 0.5659 0.0188
6 Be 0.7500 0.9341 0.5188
7 Be 0.2500 0.0659 0.4812
8 Be 0.7500 0.4341 0.9812
9 Be 0.7500 0.3000 0.7608
10 Be 0.2500 0.2000 0.2608
11 Be 0.7500 0.8000 0.7392
12 Be 0.2500 0.7000 0.2392
13 Be 0.2500 0.9601 0.1133
14 Be 0.7500 0.5399 0.6133
15 Be 0.2500 0.4601 0.3867
16 Be 0.7500 0.0399 0.8867
17 Be 0.9999 0.4358 0.1823
18 Be 0.0001 0.0642 0.6823
19 Be 0.5001 0.9358 0.3177
20 Be 0.4999 0.5642 0.8177
21 Be 0.0001 0.5642 0.8177
22 Be 0.9999 0.9358 0.3177
23 Be 0.4999 0.0642 0.6823
24 Be 0.5001 0.4358 0.1823
25 Au 0.2500 0.8617 0.8623
26 Au 0.7500 0.6383 0.3623
27 Au 0.2500 0.3617 0.6377
28 Au 0.7500 0.1383 0.1377

## Properties
- DOS at the Fermi energy: 0.26 states/eV/atom
- Space group: Pnma (62)
- Total moment: 0.00 μB per atom
- Calculated volume: 11.065 A^3/atom
- Uncorrected energy: -4.82 eV per atom

Here is NaAc3Ho3Te8 after structural relaxation from Alexandria. Energies are from PBE.

a b c (Å): 8.9910 8.9917 9.0999
angles (deg): 119.61 90.00 120.00
Element x y z (fractional)
1 Na 0.0000 0.0000 0.5000
2 Ac 0.0000 0.0000 0.0000
3 Ac 0.0000 0.5000 0.0000
4 Ac 0.5000 0.5000 0.0000
5 Ho 0.5000 0.0000 0.5000
6 Ho 0.5000 0.5000 0.5000
7 Ho 0.0000 0.5000 0.5000
8 Te 0.2587 0.5174 0.2768
9 Te 0.7413 0.4826 0.7232
10 Te 0.7468 0.4937 0.2648
11 Te 0.2532 0.5063 0.7352
12 Te 0.7471 0.0178 0.2643
13 Te 0.2529 0.9822 0.7357
14 Te 0.2708 0.0178 0.2643
15 Te 0.7292 0.9822 0.7357

## Properties
- DOS at the Fermi energy: 0.31 states/eV/atom
- Energy relative to the elements, uncorrected: -1388 meV/atom
- Space group: R-3m (166)
- Total moment: 0.00 μB per atom
- Calculated volume: 34.887 A^3/atom
- Uncorrected energy: -4.89 eV per atom

Here is PaTiVSi2 after structural relaxation from Alexandria. Energies are from PBE.

a b c (Å): 3.9375 3.9375 6.2512
angles (deg): 108.36 108.36 90.00
Element x y z (fractional)
1 Pa 0.0000 0.0000 0.0000
2 Ti 0.2500 0.7500 0.5000
3 V 0.7500 0.2500 0.5000
4 Si 0.6060 0.6060 0.2120
5 Si 0.3940 0.3940 0.7880

## Properties
- DOS at the Fermi energy: 0.88 states/eV/atom
- Energy relative to the elements, uncorrected: -588 meV/atom
- Space group: I-4m2 (119)
- Total moment: 0.00 μB per atom
- Calculated volume: 17.355 A^3/atom
- Uncorrected energy: -8.06 eV per atom

Here is CaMg2Sb after structural relaxation from Alexandria. Energies are from PBE.

a b c (Å): 5.3371 5.3371 5.3371
angles (deg): 60.00 60.00 60.00
Element x y z (fractional)
1 Sb 0.5000 0.5000 0.5000
2 Ca 0.0000 0.0000 0.0000
3 Mg 0.2500 0.2500 0.2500
4 Mg 0.7500 0.7500 0.7500

## Properties
- DOS at the Fermi energy: 0.63 states/eV/atom
- Energy relative to the elements, uncorrected: -137 meV/atom
- Space group: Fm-3m (225)
- Total moment: 0.00 μB per atom
- Calculated volume: 26.874 A^3/atom
- Uncorrected energy: -2.47 eV per atom

Here is BeAu2Se after structural relaxation from Alexandria. Energies are from PBE.

a b c (Å): 4.6089 4.6089 4.6089
angles (deg): 60.00 60.00 60.00
Element x y z (fractional)
1 Be 0.5000 0.5000 0.5000
2 Au 0.0000 0.0000 0.0000
3 Au 0.2500 0.2500 0.2500
4 Se 0.7500 0.7500 0.7500

## Properties
- Energy relative to the elements, uncorrected: 374 meV/atom
- Space group: F-43m (216)
- Total moment: 0.00 μB per atom
- Calculated volume: 17.307 A^3/atom
- Uncorrected energy: -3.07 eV per atom